Record 1
# Nd4SbAs2

A relaxed structure of Nd4SbAs2 (PBE, Alexandria).

## Properties
- uncorrected formation energy (eV/atom) = -1.200
- DOS(E_F) (states/eV/atom) = 0.698
- V (Å³/cell) = 427.34
- total DFT energy (no corrections) (eV per atom) = -5.841

Cell: 4.3140 7.3278 14.1448 Å, 90.00 90.00 107.12°
With the nearest neighbours (Å) after each atom.
Positions (direct):
Nd: 0.7684 0.5367 0.1194  3 As 2.88-2.96
Nd: 0.7684 0.5367 0.3806  3 As 2.88-2.96
Nd: 0.2316 0.4633 0.8806  3 As 2.88-2.96
Nd: 0.2316 0.4633 0.6194  3 As 2.88-2.96
Nd: 0.9450 0.8900 0.7500  2 As 2.90, 2 Sb 3.13
Nd: 0.0550 0.1100 0.2500  2 As 2.90, 2 Sb 3.13
Nd: 0.5000 0.0000 0.0000  4 As 3.00
Nd: 0.5000 0.0000 0.5000  4 As 3.00
Sb: 0.6073 0.2145 0.7500  6 Nd 3.13-3.33
Sb: 0.3927 0.7855 0.2500  6 Nd 3.13-3.33
As: 0.1361 0.2722 0.4390  6 Nd 2.88-3.00
As: 0.8639 0.7278 0.9390  6 Nd 2.88-3.00
As: 0.1361 0.2722 0.0610  6 Nd 2.88-3.00
As: 0.8639 0.7278 0.5610  6 Nd 2.88-3.00

Record 2
# Li3HfPa3Se8

A relaxed structure of Li3HfPa3Se8 (PBE, Alexandria).

## Properties
- uncorrected formation energy (eV/atom) = -1.294
- DOS(E_F) (states/eV/atom) = 1.058
- V (Å³/cell) = 362.24
- total DFT energy (no corrections) (eV per atom) = -6.098

Cell: 7.8862 7.8861 8.1229 Å, 119.05 90.00 120.00°
With the nearest neighbours (Å) after each atom.
Positions (direct):
Li: 0.0000 0.0000 0.0000  6 Se 2.75-2.79
Li: 0.0000 0.5000 0.0000  6 Se 2.75-2.79
Li: 0.5000 0.5000 0.0000  6 Se 2.75-2.79
Hf: 0.0000 0.0000 0.5000  6 Se 2.74
Pa: 0.5000 0.0000 0.5000  6 Se 2.88-2.91
Pa: 0.5000 0.5000 0.5000  6 Se 2.88-2.91
Pa: 0.0000 0.5000 0.5000  6 Se 2.88-2.91
Se: 0.2434 0.4868 0.2302  3 Li 2.75, 3 Pa 2.91
Se: 0.7566 0.5132 0.7698  3 Li 2.75, 3 Pa 2.91
Se: 0.7584 0.5168 0.2501  1 Hf 2.74, 2 Li 2.79, 2 Pa 2.88
Se: 0.2416 0.4832 0.7499  1 Hf 2.74, 2 Li 2.79, 2 Pa 2.88
Se: 0.7584 0.9916 0.2501  1 Hf 2.74, 2 Li 2.79, 2 Pa 2.88
Se: 0.2416 0.0084 0.7499  1 Hf 2.74, 2 Li 2.79, 2 Pa 2.88
Se: 0.2331 0.9916 0.2501  1 Hf 2.74, 2 Li 2.79, 2 Pa 2.88
Se: 0.7669 0.0084 0.7499  1 Hf 2.74, 2 Li 2.79, 2 Pa 2.88